Here is a relaxed structure of TaCr from Alexandria. Energies are from PBE.

CIF file:
```
data_TaCr
_chemical_formula_sum 'Ta3 Cr3'
_cell_length_a 5.1624
_cell_length_b 5.1624
_cell_length_c 6.3249
_cell_angle_alpha 70.65
_cell_angle_beta 70.65
_cell_angle_gamma 34.80
_space_group_name_H-M_alt 'P 1'
_space_group_IT_number 1
_space_group_name_Hall 'P 1'
loop_
_atom_site_label
_atom_site_fract_x
_atom_site_fract_y
_atom_site_fract_z
_atom_site_occupancy
Ta1 0.8333 0.8333 0.8093 1
Cr1 0.5000 0.5000 0.5000 1
Cr2 0.1678 0.1678 0.6510 1
Ta2 0.5000 0.5000 0.0000 1
Ta3 0.1667 0.1667 0.1907 1
Cr3 0.8322 0.8322 0.3490 1
```

Its formation energy from the elements is 79 meV/atom. The value obtained for the total energy is -10.659 eV per atom. The value obtained for the total moment is 0.000 μB/f.u.